Entry 1:
Density functional theory data (GGA-PBE) for a relaxed structure of NdZrTc.

Values from the calculation:
Crystal system = cubic
Energy = -6.732 eV/atom
Energy relative to the lowest polymorph listed for this composition = 461 meV per atom
Calculated density = 7667 kg/m³

Cell and atoms, written as extended XYZ:
```
3
Lattice="0.000 3.305 3.305 3.305 0.000 3.305 3.305 3.305 0.000" Properties=species:S:1:pos:R:3 pbc="T T T"
Nd 0.000 0.000 0.000
Zr 1.653 1.653 1.653
Tc 4.958 4.958 4.958
```


Entry 2:
Density functional theory data (GGA-PBE) for a relaxed structure of NdTe3.

Values from the calculation:
Crystal system = orthorhombic
Energy = -4.540 eV/atom
Calculated density = 6743 kg/m³

Cell and atoms, written as extended XYZ:
```
8
Lattice="2.193 -13.498 0.000 2.193 13.498 0.000 0.000 0.000 4.386" Properties=species:S:1:pos:R:3 pbc="T T T"
Nd 2.193 8.889 3.289
Nd 2.193 -8.889 1.096
Te 2.193 11.470 1.096
Te 2.193 5.574 3.289
Te 2.193 2.028 1.096
Te 2.193 -2.028 3.289
Te 2.193 -5.574 1.096
Te 2.193 -11.470 3.289
```


Entry 3:
Density functional theory data (GGA-PBE) for a relaxed structure of Nd2Te3.

Values from the calculation:
Crystal system = orthorhombic
Energy = -5.226 eV/atom
Calculated density = 5749 kg/m³

Cell and atoms, written as extended XYZ:
```
20
Lattice="0.000 6.361 13.507 4.514 0.000 13.507 4.514 6.361 0.000" Properties=species:S:1:pos:R:3 pbc="T T T"
Nd 1.128 1.590 1.127
Nd 3.385 4.771 3.396
Nd 1.128 1.590 5.626
Nd 5.642 7.952 10.149
Nd 3.385 4.771 16.865
Nd 7.899 11.132 21.388
Nd 5.642 7.952 23.619
Nd 7.899 11.132 25.887
Te 3.367 1.584 7.899
Te 5.642 4.771 10.130
Te 3.403 1.584 12.362
Te 5.660 4.765 14.652
Te 7.899 7.952 16.884
Te 5.624 4.765 19.116
Te 3.403 7.958 7.899
Te 1.128 4.771 10.130
Te 3.367 7.958 12.362
Te 5.624 11.138 14.652
Te 3.385 7.952 16.884
Te 5.660 11.138 19.116
```


Entry 4:
Density functional theory data (GGA-PBE) for a relaxed structure of NdTe5.

Values from the calculation:
Crystal system = orthorhombic
Energy = -4.022 eV/atom
Calculated density = 6017 kg/m³

Cell and atoms, written as extended XYZ:
```
24
Lattice="22.042 0.000 0.000 0.000 8.901 0.000 0.000 0.000 4.401" Properties=species:S:1:pos:R:3 pbc="T T T"
Nd 2.419 2.225 0.155
Nd 8.602 6.676 2.356
Nd 13.440 2.225 2.046
Nd 19.623 6.676 4.246
Te 0.000 0.000 0.000
Te 0.000 4.450 0.000
Te 0.285 6.676 2.196
Te 3.585 0.179 2.390
Te 3.585 4.272 2.390
Te 5.346 2.225 1.516
Te 5.675 6.676 3.717
Te 7.436 4.629 0.190
Te 7.436 8.722 0.190
Te 10.736 2.225 4.397
Te 11.021 0.000 2.201
Te 11.021 4.450 2.201
Te 11.306 6.676 0.005
Te 14.606 0.179 4.212
Te 14.606 4.272 4.212
Te 16.367 2.225 0.685
Te 16.696 6.676 2.885
Te 18.457 4.629 2.011
Te 18.457 8.722 2.011
Te 21.757 2.225 2.206
```


Entry 5:
Density functional theory data (GGA-PBE) for a relaxed structure of Nd5Te6.

Values from the calculation:
Crystal system = monoclinic
Energy = -5.357 eV/atom
Calculated density = 6536 kg/m³

Cell and atoms, written as extended XYZ:
```
11
Lattice="3.875 -6.691 0.000 3.875 6.691 0.000 -2.587 0.000 7.284" Properties=species:S:1:pos:R:3 pbc="T T T"
Nd 0.000 0.000 0.000
Nd 2.582 4.489 3.642
Nd 3.875 2.259 0.000
Nd 3.875 -2.259 0.000
Nd 2.582 -4.489 3.642
Te 1.334 2.164 1.872
Te 0.079 0.000 5.422
Te 1.334 -2.164 1.872
Te 3.829 2.164 5.412
Te 5.084 0.000 1.862
Te 3.829 -2.164 5.412
```


Entry 6:
Density functional theory data (GGA-PBE) for a relaxed structure of Nd2Te3.

Values from the calculation:
Crystal system = orthorhombic
Energy = -5.257 eV/atom
Calculated density = 6794 kg/m³

Cell and atoms, written as extended XYZ:
```
20
Lattice="12.354 0.000 0.000 0.000 4.427 0.000 0.000 0.000 12.000" Properties=species:S:1:pos:R:3 pbc="T T T"
Nd 0.200 1.107 2.252
Nd 2.426 1.107 5.978
Nd 3.751 3.320 11.978
Nd 5.977 3.320 8.252
Nd 6.377 1.107 3.748
Nd 8.603 1.107 0.022
Nd 9.928 3.320 6.023
Nd 12.154 3.320 9.748
Te 0.519 3.320 4.529
Te 1.479 1.107 11.319
Te 2.790 3.320 8.385
Te 3.387 1.107 2.385
Te 4.698 3.320 5.319
Te 5.658 1.107 10.529
Te 6.696 3.320 1.471
Te 7.656 1.107 6.682
Te 8.967 3.320 9.615
Te 9.564 1.107 3.615
Te 10.875 3.320 0.681
Te 11.835 1.107 7.471
```


Entry 7:
Density functional theory data (GGA-PBE) for a relaxed structure of NdThTe.

Values from the calculation:
Crystal system = cubic
Energy = -5.505 eV/atom
Energy relative to the lowest polymorph listed for this composition = 0 meV per atom
Calculated density = 8193 kg/m³

Cell and atoms, written as extended XYZ:
```
3
Lattice="0.000 3.710 3.710 3.710 0.000 3.710 3.710 3.710 0.000" Properties=species:S:1:pos:R:3 pbc="T T T"
Nd 0.000 0.000 0.000
Th 3.710 3.710 3.710
Te 1.855 1.855 1.855
```


Entry 8:
Density functional theory data (GGA-PBE) for a relaxed structure of NdTlTe.

Values from the calculation:
Crystal system = cubic
Energy = -3.841 eV/atom
Energy relative to the lowest polymorph listed for this composition = 103 meV per atom
Calculated density = 7569 kg/m³

Cell and atoms, written as extended XYZ:
```
3
Lattice="0.000 3.738 3.738 3.738 0.000 3.738 3.738 3.738 0.000" Properties=species:S:1:pos:R:3 pbc="T T T"
Nd 0.000 0.000 0.000
Tl 1.869 1.869 1.869
Te 5.607 5.607 5.607
```


Entry 9:
Density functional theory data (GGA-PBE) for a relaxed structure of NdTlTe.

Values from the calculation:
Crystal system = cubic
Energy = -3.944 eV/atom
Energy relative to the lowest polymorph listed for this composition = 0 meV per atom
Calculated density = 7621 kg/m³

Cell and atoms, written as extended XYZ:
```
3
Lattice="0.000 3.730 3.730 3.730 0.000 3.730 3.730 3.730 0.000" Properties=species:S:1:pos:R:3 pbc="T T T"
Nd 0.000 0.000 0.000
Tl 3.730 3.730 3.730
Te 1.865 1.865 1.865
```


Entry 10:
Density functional theory data (GGA-PBE) for a relaxed structure of NdYTlTe3.

Values from the calculation:
Crystal system = orthorhombic
Energy = -4.833 eV/atom
Calculated density = 6341 kg/m³

Cell and atoms, written as extended XYZ:
```
12
Lattice="2.274 -7.711 0.000 2.274 7.711 0.000 0.000 0.000 12.249" Properties=species:S:1:pos:R:3 pbc="T T T"
Nd 0.000 0.000 0.000
Nd 0.000 0.000 6.124
Y 2.274 0.909 9.186
Y 2.274 -0.909 3.062
Tl 2.274 3.776 3.062
Tl 2.274 -3.776 9.186
Te 2.274 6.677 9.186
Te 2.274 2.239 6.576
Te 2.274 2.239 11.797
Te 2.274 -2.239 0.452
Te 2.274 -2.239 5.673
Te 2.274 -6.677 3.062
```


Entry 11:
Density functional theory data (GGA-PBE) for a relaxed structure of NdTlZnTe3.

Values from the calculation:
Crystal system = orthorhombic
Energy = -3.797 eV/atom
Energy relative to the lowest polymorph listed for this composition = 18 meV per atom
Calculated density = 6280 kg/m³

Cell and atoms, written as extended XYZ:
```
24
Lattice="15.861 0.000 0.000 0.000 4.442 0.000 0.000 0.000 11.964" Properties=species:S:1:pos:R:3 pbc="T T T"
Nd 0.425 1.110 1.906
Nd 7.505 3.331 7.888
Nd 8.356 1.110 4.076
Nd 15.436 3.331 10.058
Tl 3.807 1.110 5.596
Tl 4.124 3.331 11.578
Tl 11.738 1.110 0.386
Tl 12.055 3.331 6.368
Zn 0.273 3.331 4.786
Zn 7.658 1.110 10.767
Zn 8.203 3.331 1.196
Zn 15.589 1.110 7.178
Te 1.347 3.331 7.316
Te 1.647 1.110 10.986
Te 2.354 3.331 3.100
Te 5.576 1.110 9.081
Te 6.284 3.331 5.004
Te 6.584 1.110 1.334
Te 9.278 3.331 10.629
Te 9.577 1.110 6.960
Te 10.285 3.331 2.882
Te 13.507 1.110 8.864
Te 14.215 3.331 0.978
Te 14.515 1.110 4.648
```


Entry 12:
Density functional theory data (GGA-PBE) for a relaxed structure of NdTlZnTe3.

Values from the calculation:
Crystal system = orthorhombic
Energy = -3.726 eV/atom
Energy relative to the lowest polymorph listed for this composition = 89 meV per atom
Calculated density = 6908 kg/m³

Cell and atoms, written as extended XYZ:
```
24
Lattice="9.129 0.000 0.000 0.000 4.663 0.000 0.000 0.000 17.997" Properties=species:S:1:pos:R:3 pbc="T T T"
Nd 2.215 1.166 0.840
Nd 2.349 3.497 9.839
Nd 6.780 1.166 8.159
Nd 6.914 3.497 17.158
Tl 0.590 1.166 14.192
Tl 3.974 3.497 5.194
Tl 5.155 1.166 12.804
Tl 8.539 3.497 3.805
Zn 1.185 1.166 6.425
Zn 3.380 3.497 15.424
Zn 5.749 1.166 2.574
Zn 7.944 3.497 11.573
Te 0.029 3.497 7.409
Te 1.140 3.497 16.975
Te 1.872 1.166 3.888
Te 2.693 3.497 12.887
Te 3.424 1.166 7.976
Te 4.536 1.166 16.408
Te 4.593 3.497 1.589
Te 5.705 3.497 10.021
Te 6.437 1.166 5.111
Te 7.257 3.497 14.110
Te 7.989 1.166 1.022
Te 9.101 1.166 10.588
```


Entry 13:
Density functional theory data (GGA-PBE) for a relaxed structure of NdTlZnTe3.

Values from the calculation:
Crystal system = monoclinic
Energy = -3.666 eV/atom
Energy relative to the lowest polymorph listed for this composition = 149 meV per atom
Calculated density = 6464 kg/m³

Cell and atoms, written as extended XYZ:
```
12
Lattice="9.892 -2.270 0.000 9.892 2.270 0.000 -2.258 0.000 9.114" Properties=species:S:1:pos:R:3 pbc="T T T"
Nd 3.246 0.000 0.802
Nd 14.280 0.000 8.312
Tl 1.330 0.000 5.230
Tl 16.197 0.000 3.884
Zn 7.531 0.000 7.076
Zn 9.995 0.000 2.039
Te 0.000 0.000 0.000
Te 5.008 0.000 6.210
Te 6.324 0.000 1.318
Te 8.763 0.000 4.557
Te 11.202 0.000 7.796
Te 12.518 0.000 2.905
```


Entry 14:
Density functional theory data (GGA-PBE) for a relaxed structure of NdTlZnTe3.

Values from the calculation:
Crystal system = monoclinic
Energy = -3.792 eV/atom
Energy relative to the lowest polymorph listed for this composition = 24 meV per atom
Calculated density = 6238 kg/m³

Cell and atoms, written as extended XYZ:
```
12
Lattice="8.947 0.000 0.000 0.000 4.439 0.000 -3.372 0.000 10.683" Properties=species:S:1:pos:R:3 pbc="T T T"
Nd 1.262 1.110 1.500
Nd 4.313 3.329 9.183
Tl -0.253 3.329 7.524
Tl 5.828 1.110 3.159
Zn 2.459 3.329 4.165
Zn 3.116 1.110 6.517
Te -2.370 1.110 9.056
Te 0.956 1.110 4.776
Te 3.507 3.329 1.725
Te 2.068 1.110 8.958
Te 4.619 3.329 5.907
Te 7.945 3.329 1.627
```


Entry 15:
Density functional theory data (GGA-PBE) for a relaxed structure of NdTlZnTe3.

Values from the calculation:
Crystal system = orthorhombic
Energy = -3.786 eV/atom
Energy relative to the lowest polymorph listed for this composition = 30 meV per atom
Calculated density = 6844 kg/m³

Cell and atoms, written as extended XYZ:
```
24
Lattice="12.664 0.000 0.000 0.000 4.581 0.000 0.000 0.000 13.331" Properties=species:S:1:pos:R:3 pbc="T T T"
Nd 0.335 1.145 2.410
Nd 5.997 3.435 9.075
Nd 6.667 1.145 4.255
Nd 12.329 3.435 10.921
Tl 2.294 1.145 6.597
Tl 4.038 3.435 13.263
Tl 8.626 1.145 0.068
Tl 10.370 3.435 6.733
Zn 3.096 3.435 3.992
Zn 3.236 1.145 10.658
Zn 9.428 3.435 2.673
Zn 9.568 1.145 9.339
Te 0.523 3.435 4.660
Te 1.294 1.145 12.518
Te 2.737 3.435 9.243
Te 3.595 1.145 2.578
Te 5.038 3.435 5.852
Te 5.809 1.145 11.325
Te 6.855 3.435 2.006
Te 7.626 1.145 7.478
Te 9.069 3.435 10.753
Te 9.927 1.145 4.088
Te 11.370 3.435 0.813
Te 12.141 1.145 8.671
```


Entry 16:
Density functional theory data (GGA-PBE) for a relaxed structure of NdTlZnTe3.

Values from the calculation:
Crystal system = orthorhombic
Energy = -3.815 eV/atom
Energy relative to the lowest polymorph listed for this composition = 0 meV per atom
Calculated density = 6438 kg/m³

Cell and atoms, written as extended XYZ:
```
24
Lattice="11.914 0.000 0.000 0.000 4.437 0.000 0.000 0.000 15.551" Properties=species:S:1:pos:R:3 pbc="T T T"
Nd 0.203 1.109 3.799
Nd 5.754 3.328 11.575
Nd 6.160 1.109 3.976
Nd 11.711 3.328 11.751
Tl 2.635 3.328 7.889
Tl 3.322 1.109 0.114
Tl 8.592 3.328 15.437
Tl 9.279 1.109 7.661
Zn 2.799 1.109 11.166
Zn 3.158 3.328 3.390
Zn 8.756 1.109 12.160
Zn 9.114 3.328 4.385
Te 0.595 1.109 9.624
Te 1.065 3.328 1.716
Te 2.809 3.328 12.834
Te 3.148 1.109 5.059
Te 4.892 1.109 9.491
Te 5.362 3.328 1.848
Te 6.552 1.109 13.702
Te 7.022 3.328 6.059
Te 8.766 3.328 10.492
Te 9.105 1.109 2.717
Te 10.849 1.109 13.835
Te 11.319 3.328 5.927
```


Entry 17:
Density functional theory data (GGA-PBE) for a relaxed structure of NdTlZnTe3.

Values from the calculation:
Crystal system = orthorhombic
Energy = -3.814 eV/atom
Energy relative to the lowest polymorph listed for this composition = 1 meV per atom
Calculated density = 6440 kg/m³

Cell and atoms, written as extended XYZ:
```
12
Lattice="2.215 -7.804 0.000 2.215 7.804 0.000 0.000 0.000 11.888" Properties=species:S:1:pos:R:3 pbc="T T T"
Nd 0.000 0.000 0.000
Nd 0.000 0.000 5.944
Tl 2.215 4.009 8.916
Tl 2.215 -4.009 2.972
Zn 2.215 0.529 2.972
Zn 2.215 -0.529 8.916
Te 2.215 6.657 2.972
Te 2.215 2.128 0.818
Te 2.215 2.128 5.126
Te 2.215 -2.128 6.762
Te 2.215 -2.128 11.070
Te 2.215 -6.657 8.916
```


Entry 18:
Density functional theory data (GGA-PBE) for a relaxed structure of NdTmTe3.

Values from the calculation:
Crystal system = orthorhombic
Energy = -5.135 eV/atom
Calculated density = 7068 kg/m³

Cell and atoms, written as extended XYZ:
```
10
Lattice="2.149 -7.066 0.000 2.149 7.066 0.000 0.000 0.000 10.770" Properties=species:S:1:pos:R:3 pbc="T T T"
Nd 2.149 3.528 8.077
Nd 2.149 -3.528 2.692
Tm 0.000 0.000 0.000
Tm 0.000 0.000 5.385
Te 2.149 5.838 2.692
Te 2.149 2.061 0.671
Te 2.149 2.061 4.713
Te 2.149 -2.061 6.056
Te 2.149 -2.061 10.098
Te 2.149 -5.838 8.077
```


Entry 19:
Density functional theory data (GGA-PBE) for a relaxed structure of NdTmZnTe3.

Values from the calculation:
Crystal system = orthorhombic
Energy = -4.281 eV/atom
Calculated density = 7535 kg/m³

Cell and atoms, written as extended XYZ:
```
12
Lattice="2.098 -7.542 0.000 2.098 7.542 0.000 0.000 0.000 10.605" Properties=species:S:1:pos:R:3 pbc="T T T"
Nd 2.098 4.177 7.954
Nd 2.098 -4.177 2.651
Tm 0.000 0.000 0.000
Tm 0.000 0.000 5.303
Zn 2.098 0.378 2.651
Zn 2.098 -0.378 7.954
Te 2.098 5.869 2.651
Te 2.098 2.234 0.465
Te 2.098 2.234 4.838
Te 2.098 -2.234 5.767
Te 2.098 -2.234 10.141
Te 2.098 -5.869 7.954
```